Entry 1:
# RbSmNp | OQMD via LeMat-Bulk | PBE | optimized geometry
data_RbSmNp
_chemical_formula_sum 'Rb1 Sm1 Np1'
_cell_length_a 5.851
_cell_length_b 5.851
_cell_length_c 5.851
_cell_angle_alpha 60.00
_cell_angle_beta 60.00
_cell_angle_gamma 60.00
_symmetry_space_group_name_H-M 'P 1'
_symmetry_Int_Tables_number 1
_symmetry_space_group_name_Hall 'P 1'
loop_
_atom_site_label
_atom_site_fract_x
_atom_site_fract_y
_atom_site_fract_z
Rb1 0.750 0.750 0.750
Np1 0.250 0.250 0.250
Sm1 0.000 0.000 0.000
# Excess energy over the best structure of this formula in the dataset ... 0 meV per atom
# Total moment ... 2.572 μB per atom
# VASP energy ... -13.4 eV for the cell shown

Entry 2:
# RbGaCu | OQMD via LeMat-Bulk | PBE | optimized geometry
data_RbGaCu
_chemical_formula_sum 'Rb1 Ga1 Cu1'
_cell_length_a 5.400
_cell_length_b 5.400
_cell_length_c 5.400
_cell_angle_alpha 60.00
_cell_angle_beta 60.00
_cell_angle_gamma 60.00
_symmetry_space_group_name_H-M 'P 1'
_symmetry_Int_Tables_number 1
_symmetry_space_group_name_Hall 'P 1'
loop_
_atom_site_label
_atom_site_fract_x
_atom_site_fract_y
_atom_site_fract_z
Cu1 0.250 0.250 0.250
Ga1 0.750 0.750 0.750
Rb1 0.000 0.000 0.000
# Excess energy over the best structure of this formula in the dataset ... 362 meV per atom
# VASP energy ... -5.0 eV for the cell shown

Entry 3:
# NdDy2Co2B2N3 | OQMD via LeMat-Bulk | PBE | optimized geometry
data_NdDy2Co2B2N3
_chemical_formula_sum 'Nd1 Dy2 Co2 B2 N3'
_cell_length_a 10.359
_cell_length_b 10.359
_cell_length_c 10.359
_cell_angle_alpha 160.47
_cell_angle_beta 160.47
_cell_angle_gamma 27.76
_symmetry_space_group_name_H-M 'P 1'
_symmetry_Int_Tables_number 1
_symmetry_space_group_name_Hall 'P 1'
loop_
_atom_site_label
_atom_site_fract_x
_atom_site_fract_y
_atom_site_fract_z
N1 0.121 0.121 0.000
N2 0.879 0.879 0.000
N3 0.500 0.500 0.000
B1 0.804 0.804 0.000
B2 0.196 0.196 0.000
Co1 0.750 0.250 0.500
Co2 0.250 0.750 0.500
Dy1 0.373 0.373 0.000
Dy2 0.627 0.627 0.000
Nd1 0.000 0.000 0.000
# Total moment ... 0.002 μB per atom
# VASP energy ... -77.9 eV for the cell shown